1.
A relaxed structure of Pm2Pr3Er2. Source: Alexandria via LeMat-Bulk, functional GGA-PBE.

Calculated values
E_form in eV per atom: 0.1157
VASP energy in eV per atom: -4.5937
Crystal system: monoclinic
Magnetization in Bohr magnetons per cell: 0.00
Polymorph energy (0 for the lowest one) in meV/atom: 99
Volume in Å³/atom: 34.4

POSCAR file:
```
Pm2Pr3Er2
1.0
-2.722 0.519 -2.226
5.156 -1.782 -6.722
-3.086 -6.938 4.996
Pr Pm Er
3 2 2
direct
0.786 0.205 0.573
0.000 0.500 0.000
0.214 0.795 0.427
0.564 0.912 0.129
0.436 0.088 0.871
0.146 0.330 0.292
0.854 0.670 0.708
```

=====

2.
A relaxed structure of AlTeRh2. Source: Alexandria via LeMat-Bulk, functional GGA-PBE.

Calculated values
Uncorrected formation energy in eV/atom: -0.015
VASP energy in eV per atom: -5.4119
Crystal system: trigonal
Magnetization in Bohr magnetons per cell: 0.00
Polymorph energy (0 for the lowest one) in meV/atom: 419
Volume in Å³/atom: 18.1

POSCAR file:
```
AlTeRh2
1.0
8.252 0.013 0.008
7.618 3.172 0.008
7.618 1.529 2.779
Rh Te Al
2 1 1
direct
0.249 0.249 0.249
0.006 0.006 0.006
0.507 0.507 0.507
0.738 0.738 0.738
```

=====

3.
A relaxed structure of LaCrCl2. Source: Alexandria via LeMat-Bulk, functional GGA-PBE.

Calculated values
Uncorrected formation energy in eV/atom: -0.842
VASP energy in eV per atom: -5.4028
Crystal system: tetragonal
Magnetization in Bohr magnetons per cell: 5.03
Polymorph energy (0 for the lowest one) in meV/atom: 41
Volume in Å³/atom: 25.8

POSCAR file:
```
LaCrCl2
1.0
-2.097 -2.996 -0.847
3.111 -1.973 -0.722
0.255 -2.158 6.999
La Cr Cl
1 1 2
direct
0.500 0.500 0.734
0.000 0.000 0.466
0.000 0.000 0.958
0.500 0.500 0.342
```